No. 1
Compound: LiInSn
Source: Alexandria
Functional: GGA-PBE
Structure: relaxed

Lattice parameters (Å, degrees): 8.539 8.539 8.539 146.96 57.22 134.68
Fractional coordinates of all 9 atoms:
Li1 0.000 0.000 0.000
Li2 0.195 0.522 0.672
Li3 0.850 0.522 0.328
In1 0.344 0.014 0.330
In2 0.503 0.503 0.000
In3 0.683 0.014 0.670
Sn1 0.242 0.742 0.500
Sn2 0.612 0.774 0.838
Sn3 0.937 0.774 0.162

Values from the calculation:
Total magnetization = 0.0 μB/f.u.
Raw total energy = -3.0340 eV/atom



No. 2
Compound: K3SmBi2Te6
Source: Alexandria
Functional: GGA-PBE
Structure: relaxed

Lattice parameters (Å, degrees): 7.958 7.958 8.693 98.78 98.78 120.00
Fractional coordinates of all 12 atoms:
K1 0.000 0.000 0.000
K2 0.331 0.669 0.000
K3 0.669 0.331 0.000
Sm1 0.500 0.500 0.500
Bi1 0.166 0.834 0.500
Bi2 0.834 0.166 0.500
Te1 0.096 0.430 0.289
Te2 0.237 0.237 0.712
Te3 0.430 0.096 0.289
Te4 0.570 0.904 0.711
Te5 0.763 0.763 0.288
Te6 0.904 0.570 0.711

Values from the calculation:
Total magnetization = 0.0 μB/f.u.
Uncorrected formation energy = -0.883 eV per atom
Raw total energy = -3.7681 eV/atom



No. 3
Compound: Sm4Hg7Pb
Source: Alexandria
Functional: GGA-PBE
Structure: relaxed

Lattice parameters (Å, degrees): 7.074 7.074 11.194 119.55 119.55 46.73
Fractional coordinates of all 12 atoms:
Sm1 0.084 0.084 0.277
Sm2 0.244 0.244 0.830
Sm3 0.756 0.756 0.170
Sm4 0.916 0.916 0.723
Hg1 0.000 0.000 0.500
Hg2 0.137 0.137 0.035
Hg3 0.299 0.299 0.589
Hg4 0.427 0.427 0.160
Hg5 0.573 0.573 0.840
Hg6 0.701 0.701 0.411
Hg7 0.863 0.863 0.965
Pb1 0.500 0.500 0.500

Values from the calculation:
Total magnetization = 0.0 μB/f.u.
Raw total energy = -2.3180 eV/atom



No. 4
Compound: InOs2Au
Source: Alexandria
Functional: GGA-PBE
Structure: relaxed

Lattice parameters (Å, degrees): 2.888 4.781 4.839 90.00 90.00 90.00
Fractional coordinates of all 4 atoms:
In1 0.000 0.000 0.000
Os1 0.000 0.500 0.500
Os2 0.500 0.000 0.500
Au1 0.500 0.500 0.000

Values from the calculation:
Total magnetization = 0.3 μB/f.u.
Raw total energy = -6.4803 eV/atom



No. 5
Compound: YRe2Pt
Source: Alexandria
Functional: GGA-PBE
Structure: relaxed

Lattice parameters (Å, degrees): 3.033 5.028 4.749 90.00 94.46 90.00
Fractional coordinates of all 4 atoms:
Y1 0.000 0.000 0.000
Re1 0.332 0.500 0.749
Re2 0.668 0.500 0.251
Pt1 0.500 0.000 0.500

Values from the calculation:
Total magnetization = 0.0 μB/f.u.
Excess energy over the best structure of this formula in the dataset = 292.4 meV per atom
Raw total energy = -9.1906 eV/atom



No. 6
Compound: AsOsRu2
Source: Alexandria
Functional: GGA-PBE
Structure: relaxed

Lattice parameters (Å, degrees): 2.825 4.841 8.679 90.00 90.00 90.00
Fractional coordinates of all 8 atoms:
As1 0.000 0.000 0.000
As2 0.500 0.500 0.000
Os1 0.000 0.000 0.500
Os2 0.500 0.500 0.500
Ru1 0.000 0.500 0.240
Ru2 0.000 0.500 0.760
Ru3 0.500 0.000 0.240
Ru4 0.500 0.000 0.760

Values from the calculation:
Total magnetization = 0.2 μB/f.u.
Raw total energy = -8.0733 eV/atom



No. 7
Compound: ZnPd6Pt3
Source: Alexandria
Functional: GGA-PBE
Structure: relaxed

Lattice parameters (Å, degrees): 8.745 3.958 8.806 90.00 90.76 90.00
Fractional coordinates of all 20 atoms:
Zn1 0.055 0.250 0.392
Zn2 0.945 0.750 0.608
Pd1 0.048 0.750 0.895
Pd2 0.138 0.250 0.687
Pd3 0.152 0.750 0.197
Pd4 0.236 0.750 0.498
Pd5 0.346 0.250 0.301
Pd6 0.449 0.750 0.099
Pd7 0.551 0.250 0.901
Pd8 0.654 0.750 0.699
Pd9 0.764 0.250 0.502
Pd10 0.848 0.250 0.803
Pd11 0.862 0.750 0.313
Pd12 0.952 0.250 0.105
Pt1 0.249 0.250 0.993
Pt2 0.348 0.750 0.796
Pt3 0.450 0.250 0.600
Pt4 0.550 0.750 0.400
Pt5 0.652 0.250 0.204
Pt6 0.751 0.750 0.007

Values from the calculation:
Total magnetization = 0.0 μB/f.u.
Excess energy over the best structure of this formula in the dataset = 0.0 meV per atom
Raw total energy = -5.2041 eV/atom



No. 8
Compound: LaIn2Rh
Source: Alexandria
Functional: GGA-PBE
Structure: relaxed

Lattice parameters (Å, degrees): 3.500 3.500 27.847 90.00 90.00 120.00
Fractional coordinates of all 12 atoms:
La1 0.000 0.000 0.000
La2 0.333 0.667 0.667
La3 0.667 0.333 0.333
In1 0.000 0.000 0.233
In2 0.000 0.000 0.767
In3 0.333 0.667 0.434
In4 0.333 0.667 0.899
In5 0.667 0.333 0.101
In6 0.667 0.333 0.566
Rh1 0.000 0.000 0.500
Rh2 0.333 0.667 0.167
Rh3 0.667 0.333 0.833

Values from the calculation:
Total magnetization = 0.0 μB/f.u.
Raw total energy = -4.6304 eV/atom



No. 9
Compound: Pr4MgHg3
Source: Alexandria
Functional: GGA-PBE
Structure: relaxed

Lattice parameters (Å, degrees): 3.889 3.889 15.393 90.00 90.00 90.00
Fractional coordinates of all 8 atoms:
Pr1 0.000 0.000 0.124
Pr2 0.000 0.000 0.373
Pr3 0.000 0.000 0.627
Pr4 0.000 0.000 0.876
Mg1 0.500 0.500 0.500
Hg1 0.500 0.500 0.000
Hg2 0.500 0.500 0.253
Hg3 0.500 0.500 0.747

Values from the calculation:
Total magnetization = 1.4 μB/f.u.
Raw total energy = -3.0819 eV/atom



No. 10
Compound: Tl2ReRh
Source: Alexandria
Functional: GGA-PBE
Structure: relaxed

Lattice parameters (Å, degrees): 2.997 2.997 9.064 90.00 90.00 90.00
Fractional coordinates of all 4 atoms:
Tl1 0.000 0.000 0.000
Tl2 0.500 0.500 0.330
Re1 0.000 0.000 0.581
Rh1 0.500 0.500 0.750

Values from the calculation:
Total magnetization = 0.0 μB/f.u.
Excess energy over the best structure of this formula in the dataset = 14.5 meV per atom
Raw total energy = -5.7052 eV/atom



No. 11
Compound: TcSn2
Source: Alexandria
Functional: GGA-PBE
Structure: relaxed

Lattice parameters (Å, degrees): 10.009 3.520 7.981 90.00 118.39 90.00
Fractional coordinates of all 12 atoms:
Tc1 0.147 0.000 0.183
Tc2 0.353 0.500 0.817
Tc3 0.647 0.500 0.183
Tc4 0.853 0.000 0.817
Sn1 0.094 0.500 0.879
Sn2 0.156 0.000 0.553
Sn3 0.344 0.500 0.447
Sn4 0.406 0.000 0.121
Sn5 0.594 0.000 0.879
Sn6 0.656 0.500 0.553
Sn7 0.844 0.000 0.447
Sn8 0.906 0.500 0.121

Values from the calculation:
Total magnetization = 0.0 μB/f.u.
Excess energy over the best structure of this formula in the dataset = 1.7 meV per atom
Raw total energy = -6.1332 eV/atom



No. 12
Compound: CrPS2
Source: Alexandria
Functional: GGA-PBE
Structure: relaxed

Lattice parameters (Å, degrees): 3.377 3.377 22.354 90.00 90.00 120.00
Fractional coordinates of all 12 atoms:
Cr1 0.000 0.000 0.000
Cr2 0.333 0.667 0.667
Cr3 0.667 0.333 0.333
P1 0.000 0.000 0.500
P2 0.333 0.667 0.167
P3 0.667 0.333 0.833
S1 0.000 0.000 0.393
S2 0.000 0.000 0.607
S3 0.333 0.667 0.060
S4 0.333 0.667 0.273
S5 0.667 0.333 0.727
S6 0.667 0.333 0.940

Values from the calculation:
Total magnetization = 2.9 μB/f.u.
Uncorrected formation energy = -0.108 eV per atom
Raw total energy = -5.9296 eV/atom



No. 13
Compound: Ba3CuRu2O9
Source: Alexandria
Functional: GGA-PBE
Structure: relaxed

Lattice parameters (Å, degrees): 5.785 5.785 7.106 90.00 90.00 120.00
Fractional coordinates of all 15 atoms:
Ba1 0.000 0.000 0.000
Ba2 0.333 0.667 0.669
Ba3 0.667 0.333 0.331
Cu1 0.000 0.000 0.500
Ru1 0.333 0.667 0.175
Ru2 0.667 0.333 0.825
O1 0.000 0.500 0.000
O2 0.173 0.345 0.321
O3 0.173 0.827 0.321
O4 0.345 0.173 0.679
O5 0.500 0.000 0.000
O6 0.500 0.500 0.000
O7 0.655 0.827 0.321
O8 0.827 0.173 0.679
O9 0.827 0.655 0.679

Values from the calculation:
Total magnetization = 5.0 μB/f.u.
Excess energy over the best structure of this formula in the dataset = 30.7 meV per atom
Uncorrected formation energy = -1.666 eV per atom
Raw total energy = -6.5349 eV/atom